Record 1
# TaSi2W PBE-GGA relaxed
# N(E_F)	0.76	states/eV/atom
# raw formation energy	0.299	eV/atom
# energy	-137.82	eV per cell
# magnetization	0.000	μB per atom
data_TaSi2W
_chemical_formula_sum 'Ta4 Si8 W4'
_symmetry_space_group_name_H-M 'I -4 2 d'
_symmetry_Int_Tables_number 122
_symmetry_space_group_name_Hall 'I -4 2bw'
_cell_length_a 3.8157
_cell_length_b 3.8157
_cell_length_c 18.3013
_cell_angle_alpha 90.00
_cell_angle_beta 90.00
_cell_angle_gamma 90.00
loop_
_atom_site_label
_atom_site_type_symbol
_atom_site_fract_x
_atom_site_fract_y
_atom_site_fract_z
_atom_site_occupancy
Ta1 Ta 0.0000 0.0000 0.0000 1
Si1 Si 0.2466 0.2500 0.6250 1
W1 W 0.0000 0.0000 0.5000 1

Record 2
# TaSiW2 PBE-GGA relaxed
# N(E_F)	0.74	states/eV/atom
# raw formation energy	0.675	eV/atom
# energy	-161.92	eV per cell
# magnetization	0.000	μB per atom
data_TaSiW2
_chemical_formula_sum 'Ta4 Si4 W8'
_symmetry_space_group_name_H-M 'I -4 2 d'
_symmetry_Int_Tables_number 122
_symmetry_space_group_name_Hall 'I -4 2bw'
_cell_length_a 7.5384
_cell_length_b 7.5384
_cell_length_c 4.9750
_cell_angle_alpha 90.00
_cell_angle_beta 90.00
_cell_angle_gamma 90.00
loop_
_atom_site_label
_atom_site_type_symbol
_atom_site_fract_x
_atom_site_fract_y
_atom_site_fract_z
_atom_site_occupancy
Ta1 Ta 0.0000 0.0000 0.0000 1
Si1 Si 0.0000 0.0000 0.5000 1
W1 W 0.1798 0.7500 0.6250 1

Record 3
# TaSiW2 PBE-GGA relaxed
# N(E_F)	0.59	states/eV/atom
# raw formation energy	-0.022	eV/atom
# energy	-86.54	eV per cell
# magnetization	0.000	μB per atom
data_TaSiW2
_chemical_formula_sum 'Ta2 Si2 W4'
_symmetry_space_group_name_H-M 'I m m m'
_symmetry_Int_Tables_number 71
_symmetry_space_group_name_Hall '-I 2 2'
_cell_length_a 3.2767
_cell_length_b 4.4536
_cell_length_c 8.6680
_cell_angle_alpha 90.00
_cell_angle_beta 90.00
_cell_angle_gamma 90.00
loop_
_atom_site_label
_atom_site_type_symbol
_atom_site_fract_x
_atom_site_fract_y
_atom_site_fract_z
_atom_site_occupancy
Ta1 Ta 0.0000 0.0000 0.0000 1
Si1 Si 0.0000 0.0000 0.5000 1
W1 W 0.0000 0.5000 0.2493 1

Record 4
# Ta2SiW PBE-GGA relaxed
# N(E_F)	0.50	states/eV/atom
# raw formation energy	0.029	eV/atom
# energy	-41.96	eV per cell
# magnetization	0.000	μB per atom
data_Ta2SiW
_chemical_formula_sum 'Ta2 Si1 W1'
_symmetry_space_group_name_H-M 'P 4/m m m'
_symmetry_Int_Tables_number 123
_symmetry_space_group_name_Hall '-P 4 2'
_cell_length_a 2.7804
_cell_length_b 2.7804
_cell_length_c 8.5165
_cell_angle_alpha 90.00
_cell_angle_beta 90.00
_cell_angle_gamma 90.00
loop_
_atom_site_label
_atom_site_type_symbol
_atom_site_fract_x
_atom_site_fract_y
_atom_site_fract_z
_atom_site_occupancy
Ta1 Ta 0.0000 0.0000 0.2281 1
Si1 Si 0.5000 0.5000 0.0000 1
W1 W 0.5000 0.5000 0.5000 1

Record 5
# TaSi2W PBE-GGA relaxed
# N(E_F)	0.45	states/eV/atom
# raw formation energy	-0.298	eV/atom
# energy	-36.84	eV per cell
# magnetization	0.000	μB per atom
data_TaSi2W
_chemical_formula_sum 'Ta1 Si2 W1'
_symmetry_space_group_name_H-M 'P 4 m m'
_symmetry_Int_Tables_number 99
_cell_length_a 3.2693
_cell_length_b 3.2693
_cell_length_c 5.5882
_cell_angle_alpha 90.00
_cell_angle_beta 90.00
_cell_angle_gamma 90.00
loop_
_symmetry_equiv_pos_as_xyz
'x,y,z'
'-y,x,z'
'-x,-y,z'
'y,-x,z'
'-x,y,z'
'y,x,z'
'x,-y,z'
'-y,-x,z'
loop_
_atom_site_label
_atom_site_type_symbol
_atom_site_fract_x
_atom_site_fract_y
_atom_site_fract_z
_atom_site_occupancy
Ta1 Ta 0.0000 0.0000 0.0000 1
Si1 Si 0.0000 0.0000 0.5097 1
Si2 Si 0.5000 0.5000 0.7593 1
W1 W 0.5000 0.5000 0.2916 1

Record 6
# TaSiW2 PBE-GGA relaxed
# N(E_F)	0.69	states/eV/atom
# raw formation energy	0.073	eV/atom
# energy	-85.78	eV per cell
# magnetization	0.000	μB per atom
data_TaSiW2
_chemical_formula_sum 'Ta2 Si2 W4'
_symmetry_space_group_name_H-M 'C 1 2/m 1'
_symmetry_Int_Tables_number 12
_cell_length_a 5.4663
_cell_length_b 8.9122
_cell_length_c 2.8062
_cell_angle_alpha 90.00
_cell_angle_beta 111.75
_cell_angle_gamma 90.00
loop_
_symmetry_equiv_pos_as_xyz
'x,y,z'
'-x,-y,-z'
'-x,y,-z'
'x,-y,z'
'x+1/2,y+1/2,z'
'-x+1/2,-y+1/2,-z'
'-x+1/2,y+1/2,-z'
'x+1/2,-y+1/2,z'
loop_
_atom_site_label
_atom_site_type_symbol
_atom_site_fract_x
_atom_site_fract_y
_atom_site_fract_z
_atom_site_occupancy
Ta1 Ta 0.0000 0.0000 0.0000 1
Si1 Si 0.0000 0.5000 0.0000 1
W1 W 0.2500 0.2500 0.5000 1

What did the fifth record say?
# TaSi2W PBE-GGA relaxed
# N(E_F)	0.45	states/eV/atom
# raw formation energy	-0.298	eV/atom
# energy	-36.84	eV per cell
# magnetization	0.000	μB per atom
data_TaSi2W
_chemical_formula_sum 'Ta1 Si2 W1'
_symmetry_space_group_name_H-M 'P 4 m m'
_symmetry_Int_Tables_number 99
_cell_length_a 3.2693
_cell_length_b 3.2693
_cell_length_c 5.5882
_cell_angle_alpha 90.00
_cell_angle_beta 90.00
_cell_angle_gamma 90.00
loop_
_symmetry_equiv_pos_as_xyz
'x,y,z'
'-y,x,z'
'-x,-y,z'
'y,-x,z'
'-x,y,z'
'y,x,z'
'x,-y,z'
'-y,-x,z'
loop_
_atom_site_label
_atom_site_type_symbol
_atom_site_fract_x
_atom_site_fract_y
_atom_site_fract_z
_atom_site_occupancy
Ta1 Ta 0.0000 0.0000 0.0000 1
Si1 Si 0.0000 0.0000 0.5097 1
Si2 Si 0.5000 0.5000 0.7593 1
W1 W 0.5000 0.5000 0.2916 1